The following is a PBE calculation of a relaxed structure of GaNi6Sb, from the Alexandria database.

Unit cell a=4.1821 b=5.1991 c=5.1991 alpha=120.02 beta=90.00 gamma=90.00
Element x y z (fractional)
Sb 0.5000 0.4166 0.5834
Ni 0.0000 0.5892 0.4108
Ni 0.0000 0.5895 0.9290
Ni 0.5000 0.9156 0.5814
Ni 0.5000 0.9158 0.0842
Ni 0.0000 0.0710 0.4105
Ni 0.5000 0.4186 0.0844
Ga 0.0000 0.0834 0.9166

Output
DOS at the Fermi energy, states/eV/f.u.: 7.27
Energy relative to the elements, uncorrected, eV/f.u.: -1.70
Excess energy over the best structure of this formula in the dataset, meV per atom: 23